Entry 1:
# CaAl3V

A relaxed structure of CaAl3V (PBE, Alexandria via LeMat-Bulk).

POSCAR file:
```
CaAl3V
1.0
5.318 0.000 0.000
0.000 5.318 0.000
0.000 0.000 5.318
Ca Al V
1 3 1
Direct
0.000 0.000 0.000
0.000 0.500 0.000
0.000 0.000 0.500
0.500 0.000 0.000
0.500 0.500 0.500
```

Results
M_tot	0.6561	μB per atom
crystal system	cubic
VASP energy	-2.860	eV/atom
ΔE to the lowest computed polymorph	1475	meV/atom
SG	Pm-3m (221)
D(E_F)	1.3633	states/eV per atom


Entry 2:
# CaAl4V

A relaxed structure of CaAl4V (PBE, Alexandria via LeMat-Bulk).

POSCAR file:
```
CaAl4V
1.0
5.353 0.000 0.000
2.677 4.636 0.000
2.677 1.545 4.371
Ca Al V
1 4 1
Direct
0.250 0.250 0.250
0.626 0.626 0.123
0.626 0.123 0.626
0.626 0.626 0.626
0.123 0.626 0.626
0.000 0.000 0.000
```

Results
M_tot	0.2405	μB per atom
crystal system	cubic
VASP energy	-4.426	eV/atom
SG	F-43m (216)
D(E_F)	0.7142	states/eV per atom


Computed volume, in the same sequence as the records: 30.086; 18.082 Å³ per atom.